! TeMoN2O | Alexandria | PBE+U | optimized geometry; values from VASP
&SYSTEM
  ibrav = 0, nat = 5, ntyp = 4
/
ATOMIC_SPECIES
Te 127.60 Te.upf
Mo 95.94 Mo.upf
N 14.01 N.upf
O 16.00 O.upf
ATOMIC_POSITIONS angstrom
Te 0.000 0.000 0.000
Mo 0.000 0.000 2.896
N 0.000 1.895 2.896
N 1.895 0.000 2.896
O 1.895 1.895 0.000
CELL_PARAMETERS angstrom
3.790 0.000 0.000
0.000 3.790 0.000
0.000 0.000 5.791
! Space group = No. 123
! Final energy = -27.4 eV for the cell shown